Na2LiZnF6: relaxed, GGA-PBE.

Lattice parameters (Å, degrees): 5.340 5.340 7.568 90.00 90.00 90.00
Space group I4/m (No. 87)
Asymmetric unit:
Na 0.000 0.500 0.250 x4
Li 0.000 0.000 0.000 x2
Zn 0.000 0.000 0.500 x2
F 0.000 0.000 0.248 x4
F 0.244 0.251 0.000 x8

Summary:
- ρ (Mg/m³) = 3.57
- E (eV per atom) = -4.024


ThUHg: relaxed, GGA-PBE.

Lattice parameters (Å, degrees): 7.270 7.270 7.270 90.00 90.00 90.00
Space group F-43m (No. 216)
Asymmetric unit:
Th 0.000 0.000 0.000 x4
U 0.000 0.000 0.500 x4
Hg 0.250 0.250 0.250 x4

Summary:
- ρ (Mg/m³) = 11.59
- energy above the lowest structure with this stoichiometry (eV/atom) = 0.000
- formation energy from the elements (eV/atom) = 0.7048


Sm3Zn2Si4Au2: relaxed, GGA-PBE.

Lattice parameters (Å, degrees): 4.128 4.242 25.122 90.00 90.00 90.00
Space group Immm (No. 71)
Asymmetric unit:
Sm 0.000 0.000 0.000 x2
Sm 0.000 0.500 0.147 x4
Zn 0.000 0.000 0.250 x4
Si 0.000 0.000 0.453 x4
Si 0.000 0.500 0.308 x4
Au 0.000 0.500 0.405 x4

Summary:
- ρ (Mg/m³) = 8.22
- energy above the lowest structure with this stoichiometry (eV/atom) = 0.000


SmBeW: relaxed, GGA-PBE.

Lattice parameters (Å, degrees): 6.149 6.149 6.149 90.00 90.00 90.00
Space group F-43m (No. 216)
Asymmetric unit:
Sm 0.000 0.000 0.000 x4
Be 0.250 0.250 0.250 x4
W 0.000 0.000 0.500 x4

Summary:
- ρ (Mg/m³) = 9.81
- energy above the lowest structure with this stoichiometry (eV/atom) = 0.000


HgPd2Se3: relaxed, GGA-PBE.

Lattice parameters (Å, degrees): 7.4387 7.4387 5.4312 90.00 90.00 120.00
Space group P-3m1 (No. 164)
Asymmetric unit:
Hg 0.3333 0.6667 0.1459 x2
Pd 0.0000 0.0000 0.5000 x1
Pd 0.0000 0.5000 0.5000 x3
Se 0.1720 0.3440 0.7394 x6

Summary:
- ρ (Mg/m³) = 8.30
- energy above the lowest structure with this stoichiometry (eV/atom) = 0.000


Y2CoPdC: relaxed, GGA-PBE.

Lattice parameters (Å, degrees): 4.981 4.981 3.601 90.00 90.00 90.00
Space group P4/mmm (No. 123)
Asymmetric unit:
Y 0.000 0.500 0.000 x2
Co 0.000 0.000 0.500 x1
Pd 0.500 0.500 0.500 x1
C 0.000 0.000 0.000 x1

Summary:
- ρ (Mg/m³) = 6.60
- E (eV per atom) = -7.444


Zr4AlCuC2: relaxed, GGA-PBE.

Lattice parameters (Å, degrees): 3.3195 3.3195 14.0871 90.00 90.00 120.00
Space group P-6m2 (No. 187)
Asymmetric unit:
Zr 0.0000 0.0000 0.1489 x2
Zr 0.3333 0.6667 0.3324 x2
Al 0.0000 0.0000 0.5000 x1
Cu 0.3333 0.6667 0.0000 x1
C 0.6667 0.3333 0.2423 x2

Summary:
- ρ (Mg/m³) = 5.92
- E (eV per atom) = -8.021


NaTmSO: relaxed, GGA-PBE.

Lattice parameters (Å, degrees): 4.211 7.283 5.970 90.00 90.00 90.00
Space group Pmc2_1 (No. 26)
Asymmetric unit:
Na 0.000 0.202 0.000 x2
Tm 0.500 0.361 0.426 x2
S 0.000 0.180 0.534 x2
O 0.500 0.383 0.079 x2

Summary:
- ρ (Mg/m³) = 4.35
- energy above the lowest structure with this stoichiometry (eV/atom) = 0.157


TcAgGe2: relaxed, GGA-PBE.

Lattice parameters (Å, degrees): 6.460 6.460 6.460 90.00 90.00 90.00
Space group F-43m (No. 216)
Asymmetric unit:
Tc 0.000 0.000 0.000 x4
Ag 0.250 0.250 0.250 x4
Ge 0.000 0.000 0.500 x4
Ge 0.250 0.250 0.750 x4

Summary:
- ρ (Mg/m³) = 8.65
- E (eV per atom) = -5.050


Hf2ZrCo2As4Pd2: relaxed, GGA-PBE.

Lattice parameters (Å, degrees): 6.505 3.907 7.404 90.00 91.89 90.00
Space group Pm (No. 6)
Asymmetric unit:
Hf 0.000 0.000 0.000 x1
Hf 0.454 0.500 0.523 x1
Zr 0.513 0.000 0.137 x1
Co 0.349 0.500 0.880 x1
Co 0.604 0.000 0.774 x1
As 0.227 0.500 0.184 x1
As 0.240 0.000 0.719 x1
As 0.724 0.500 0.905 x1
As 0.741 0.000 0.478 x1
Pd 0.129 0.000 0.394 x1
Pd 0.823 0.500 0.263 x1

Summary:
- ρ (Mg/m³) = 9.52
- E (eV per atom) = -7.266


Nb2GaTc: relaxed, GGA-PBE.

Lattice parameters (Å, degrees): 6.395 6.395 6.395 90.00 90.00 90.00
Space group F-43m (No. 216)
Asymmetric unit:
Nb 0.000 0.000 0.000 x4
Nb 0.250 0.250 0.250 x4
Ga 0.000 0.000 0.500 x4
Tc 0.250 0.250 0.750 x4

Summary:
- ρ (Mg/m³) = 8.98
- E (eV per atom) = -8.479


TmNb: relaxed, GGA-PBE.

Lattice parameters (Å, degrees): 5.829 5.829 5.829 90.00 90.00 90.00
Space group Fm-3m (No. 225)
Asymmetric unit:
Tm 0.000 0.000 0.000 x4
Nb 0.000 0.000 0.500 x4

Summary:
- ρ (Mg/m³) = 8.78
- energy above the lowest structure with this stoichiometry (eV/atom) = 0.873
- formation energy from the elements (eV/atom) = 1.2591


Cu3Mo4W2N3: relaxed, GGA-PBE.

Lattice parameters (Å, degrees): 8.584 4.962 14.216 90.00 101.55 90.00
Space group C2/c (No. 15)
Asymmetric unit:
Cu 0.000 0.210 0.250 x4
Cu 0.188 0.230 0.750 x8
Mo 0.115 0.079 0.095 x8
Mo 0.217 0.085 0.405 x8
W 0.049 0.416 0.895 x8
N 0.076 0.271 0.500 x8
N 0.250 0.250 0.000 x4

Summary:
- ρ (Mg/m³) = 11.02
- E (eV per atom) = -8.710


BiPdCl6: relaxed, GGA-PBE.

Lattice parameters (Å, degrees): 5.291 6.336 7.634 111.35 91.16 112.62
Space group P1 (No. 1)
Asymmetric unit:
Bi 0.000 0.000 0.000 x1
Pd 0.005 0.000 0.501 x1
Cl 0.154 0.318 0.815 x1
Cl 0.158 0.312 0.381 x1
Cl 0.501 0.002 0.010 x1
Cl 0.505 0.000 0.503 x1
Cl 0.851 0.687 0.620 x1
Cl 0.855 0.682 0.186 x1

Summary:
- ρ (Mg/m³) = 4.06
- E (eV per atom) = -3.156


YAuSO: relaxed, GGA-PBE.

Lattice parameters (Å, degrees): 8.914 5.655 5.638 90.00 90.21 90.00
Space group P2_1/c (No. 14)
Asymmetric unit:
Y 0.122 0.002 0.251 x4
Au 0.499 0.744 0.253 x4
S 0.282 0.007 0.751 x4
O 0.002 0.750 0.000 x4

Summary:
- ρ (Mg/m³) = 7.80
- energy above the lowest structure with this stoichiometry (eV/atom) = 0.045


TlCu3Te4Pb: relaxed, GGA-PBE.

Lattice parameters (Å, degrees): 6.594 6.594 6.594 90.00 90.00 90.00
Space group P-43m (No. 215)
Asymmetric unit:
Tl 0.000 0.000 0.000 x1
Cu 0.000 0.500 0.500 x3
Te 0.250 0.250 0.250 x4
Pb 0.500 0.500 0.500 x1

Summary:
- ρ (Mg/m³) = 6.45
- E (eV per atom) = -3.193


Lu2BeAl: relaxed, GGA-PBE.

Lattice parameters (Å, degrees): 6.921 6.921 6.921 90.00 90.00 90.00
Space group F-43m (No. 216)
Asymmetric unit:
Lu 0.000 0.000 0.000 x4
Lu 0.250 0.250 0.250 x4
Be 0.250 0.250 0.750 x4
Al 0.000 0.000 0.500 x4

Summary:
- ρ (Mg/m³) = 7.73
- E (eV per atom) = -3.812


PrHfMo: relaxed, GGA-PBE.

Lattice parameters (Å, degrees): 6.719 6.719 6.719 90.00 90.00 90.00
Space group F-43m (No. 216)
Asymmetric unit:
Pr 0.000 0.000 0.000 x4
Hf 0.250 0.250 0.750 x4
Mo 0.250 0.250 0.250 x4

Summary:
- ρ (Mg/m³) = 9.10
- formation energy from the elements (eV/atom) = 1.5205


K2TbH6O6: relaxed, GGA-PBE.

Lattice parameters (Å, degrees): 6.5841 6.5841 12.6841 90.00 90.00 120.00
Space group R-3 (No. 148, hexagonal axes)
Asymmetric unit:
K 0.0000 0.0000 0.2114 x6
Tb 0.0000 0.0000 0.5000 x3
H 0.0198 0.4536 0.6855 x18
O 0.0177 0.4434 0.2685 x18

Summary:
- ρ (Mg/m³) = 3.55
- E (eV per atom) = -5.264


Zr3C: relaxed, GGA-PBE.

Lattice parameters (Å, degrees): 3.343 4.593 10.066 90.00 90.00 90.00
Space group Immm (No. 71)
Asymmetric unit:
Zr 0.000 0.000 0.000 x2
Zr 0.000 0.000 0.344 x4
C 0.000 0.500 0.000 x2

Summary:
- ρ (Mg/m³) = 6.14
- E (eV per atom) = -9.093